# 1
VASP calculation (GGA-PBE) on La8Ir3OsBr4 after structural relaxation.

CIF file:
```
data_La8Ir3OsBr4
_symmetry_space_group_name_H-M 'C 1 2/m 1'
_symmetry_Int_Tables_number 12
_cell_length_a 14.5589
_cell_length_b 8.4061
_cell_length_c 9.2701
_cell_angle_alpha 90.00
_cell_angle_beta 121.61
_cell_angle_gamma 90.00
loop_
_symmetry_equiv_pos_as_xyz
'x,y,z'
'-x,-y,-z'
'-x,y,-z'
'x,-y,z'
'x+1/2,y+1/2,z'
'-x+1/2,-y+1/2,-z'
'-x+1/2,y+1/2,-z'
'x+1/2,-y+1/2,z'
loop_
_atom_site_label
_atom_site_type_symbol
_atom_site_fract_x
_atom_site_fract_y
_atom_site_fract_z
La1 La 0.0168 0.2465 0.3042
La2 La 0.2298 0.0000 0.6958
La3 La 0.2313 0.5000 0.6935
Ir1 Ir 0.0000 0.5000 0.5000
Ir2 Ir 0.2500 0.2500 0.5000
Os1 Os 0.0000 0.0000 0.5000
Br1 Br 0.0000 0.0000 0.0000
Br2 Br 0.0000 0.5000 0.0000
Br3 Br 0.2500 0.2500 0.0000
```

Properties
* ΔE_f (raw): -1.144 eV/atom
* M_tot: 0.00 μB per atom
* ρ: 7.55 Mg/m³
* raw total energy: -6.3897 eV/atom
* volume: 30.19 A^3/atom

# 2
VASP calculation (GGA-PBE) on U2TaGa6 after structural relaxation.

CIF file:
```
data_U2TaGa6
_symmetry_space_group_name_H-M 'P 6/m m m'
_symmetry_Int_Tables_number 191
_symmetry_space_group_name_Hall '-P 6 2'
_cell_length_a 8.1913
_cell_length_b 8.1913
_cell_length_c 2.7984
_cell_angle_alpha 90.00
_cell_angle_beta 90.00
_cell_angle_gamma 120.00
loop_
_atom_site_label
_atom_site_type_symbol
_atom_site_fract_x
_atom_site_fract_y
_atom_site_fract_z
U1 U 0.3333 0.6667 0.0000
Ta1 Ta 0.0000 0.0000 0.0000
Ga1 Ga 0.0000 0.3169 0.5000
```

Properties
* M_tot: 0.44 μB per atom
* formation enthalpy at 0 K: -0.1118 eV per atom
* ρ: 10.98 Mg/m³
* raw total energy: -5.9551 eV/atom
* volume: 18.07 A^3/atom

# 3
VASP calculation (GGA-PBE) on PrY6Tm2Sc after structural relaxation.

CIF file:
```
data_PrY6Tm2Sc
_symmetry_space_group_name_H-M 'C 1 2/c 1'
_symmetry_Int_Tables_number 15
_cell_length_a 9.2993
_cell_length_b 15.6378
_cell_length_c 8.7599
_cell_angle_alpha 90.00
_cell_angle_beta 91.77
_cell_angle_gamma 90.00
loop_
_symmetry_equiv_pos_as_xyz
'x,y,z'
'-x,-y,-z'
'-x,y,-z+1/2'
'x,-y,z+1/2'
'x+1/2,y+1/2,z'
'-x+1/2,-y+1/2,-z'
'-x+1/2,y+1/2,-z+1/2'
'x+1/2,-y+1/2,z+1/2'
loop_
_atom_site_label
_atom_site_type_symbol
_atom_site_fract_x
_atom_site_fract_y
_atom_site_fract_z
Pr1 Pr 0.0000 0.0328 0.2500
Y1 Y 0.0384 0.1711 0.9478
Y2 Y 0.1051 0.3720 0.0917
Y3 Y 0.2485 0.2929 0.7062
Tm1 Tm 0.2328 0.4443 0.4411
Sc1 Sc 0.0000 0.4421 0.7500
```

Properties
* M_tot: 0.00 μB per atom
* formation enthalpy at 0 K: 0.1213 eV per atom
* ρ: 5.51 Mg/m³
* raw total energy: -5.7625 eV/atom
* volume: 31.83 A^3/atom

# 4
VASP calculation (GGA-PBE) on Cr2SiOs after structural relaxation.

CIF file:
```
data_Cr2SiOs
_symmetry_space_group_name_H-M 'I m m 2'
_symmetry_Int_Tables_number 44
_cell_length_a 2.9508
_cell_length_b 4.0874
_cell_length_c 8.1872
_cell_angle_alpha 90.00
_cell_angle_beta 90.00
_cell_angle_gamma 90.00
loop_
_symmetry_equiv_pos_as_xyz
'x,y,z'
'-x,-y,z'
'-x,y,z'
'x,-y,z'
'x+1/2,y+1/2,z+1/2'
'-x+1/2,-y+1/2,z+1/2'
'-x+1/2,y+1/2,z+1/2'
'x+1/2,-y+1/2,z+1/2'
loop_
_atom_site_label
_atom_site_type_symbol
_atom_site_fract_x
_atom_site_fract_y
_atom_site_fract_z
Cr1 Cr 0.0000 0.0000 0.0000
Cr2 Cr 0.0000 0.5000 0.2544
Si1 Si 0.0000 0.0000 0.5111
Os1 Os 0.0000 0.5000 0.7609
```

Properties
* ΔE_f (raw): -0.126 eV/atom
* M_tot: 0.03 μB per atom
* ρ: 10.84 Mg/m³
* raw total energy: -9.1008 eV/atom
* volume: 12.34 A^3/atom

# 5
VASP calculation (GGA-PBE) on KDyBi2 after structural relaxation.

CIF file:
```
data_KDyBi2
_symmetry_space_group_name_H-M 'R 3 m'
_symmetry_Int_Tables_number 160
_symmetry_space_group_name_Hall 'R 3 -2"'
_cell_length_a 4.4820
_cell_length_b 4.4820
_cell_length_c 26.4449
_cell_angle_alpha 90.00
_cell_angle_beta 90.00
_cell_angle_gamma 120.00
loop_
_atom_site_label
_atom_site_type_symbol
_atom_site_fract_x
_atom_site_fract_y
_atom_site_fract_z
K1 K 0.0000 0.0000 0.0000
Dy1 Dy 0.0000 0.0000 0.1691
Bi1 Bi 0.0000 0.0000 0.5700
Bi2 Bi 0.0000 0.0000 0.7669
```

Properties
* M_tot: 0.00 μB per atom
* formation enthalpy at 0 K: -0.3662 eV per atom
* ρ: 6.71 Mg/m³
* raw total energy: -3.7316 eV/atom
* volume: 38.34 A^3/atom
* relative energy among the computed polymorphs: 156 meV/atom

# 6
VASP calculation (GGA-PBE) on Dy2TmPd3 after structural relaxation.

CIF file:
```
data_Dy2TmPd3
_symmetry_space_group_name_H-M 'C m m m'
_symmetry_Int_Tables_number 65
_symmetry_space_group_name_Hall '-C 2 2'
_cell_length_a 4.9834
_cell_length_b 14.9708
_cell_length_c 3.4193
_cell_angle_alpha 90.00
_cell_angle_beta 90.00
_cell_angle_gamma 90.00
loop_
_atom_site_label
_atom_site_type_symbol
_atom_site_fract_x
_atom_site_fract_y
_atom_site_fract_z
Dy1 Dy 0.0000 0.1666 0.0000
Tm1 Tm 0.0000 0.5000 0.0000
Pd1 Pd 0.0000 0.0000 0.5000
Pd2 Pd 0.0000 0.3371 0.5000
```

Properties
* M_tot: 0.00 μB per atom
* formation enthalpy at 0 K: -0.9069 eV per atom
* ρ: 10.59 Mg/m³
* raw total energy: -5.7826 eV/atom
* volume: 21.26 A^3/atom
* relative energy among the computed polymorphs: 0 meV/atom

# 7
VASP calculation (GGA-PBE) on Pr3Si3Au after structural relaxation.

CIF file:
```
data_Pr3Si3Au
_symmetry_space_group_name_H-M 'I m m 2'
_symmetry_Int_Tables_number 44
_cell_length_a 4.0884
_cell_length_b 4.4149
_cell_length_c 18.6987
_cell_angle_alpha 90.00
_cell_angle_beta 90.00
_cell_angle_gamma 90.00
loop_
_symmetry_equiv_pos_as_xyz
'x,y,z'
'-x,-y,z'
'-x,y,z'
'x,-y,z'
'x+1/2,y+1/2,z+1/2'
'-x+1/2,-y+1/2,z+1/2'
'-x+1/2,y+1/2,z+1/2'
'x+1/2,-y+1/2,z+1/2'
loop_
_atom_site_label
_atom_site_type_symbol
_atom_site_fract_x
_atom_site_fract_y
_atom_site_fract_z
Pr1 Pr 0.0000 0.0000 0.0000
Pr2 Pr 0.0000 0.0000 0.3700
Pr3 Pr 0.0000 0.5000 0.6930
Si1 Si 0.0000 0.0000 0.5415
Si2 Si 0.0000 0.0000 0.8278
Si3 Si 0.0000 0.5000 0.2525
Au1 Au 0.0000 0.5000 0.1216
```

Properties
* ΔE_f (raw): -0.737 eV/atom
* M_tot: 0.07 μB per atom
* ρ: 6.93 Mg/m³
* raw total energy: -5.5779 eV/atom
* volume: 24.11 A^3/atom

# 8
VASP calculation (GGA-PBE) on Cs4AcPu3O12 after structural relaxation.

CIF file:
```
data_Cs4AcPu3O12
_symmetry_space_group_name_H-M 'I m -3 m'
_symmetry_Int_Tables_number 229
_symmetry_space_group_name_Hall '-I 4 2 3'
_cell_length_a 8.9459
_cell_length_b 8.9459
_cell_length_c 8.9459
_cell_angle_alpha 90.00
_cell_angle_beta 90.00
_cell_angle_gamma 90.00
loop_
_atom_site_label
_atom_site_type_symbol
_atom_site_fract_x
_atom_site_fract_y
_atom_site_fract_z
Cs1 Cs 0.2500 0.2500 0.2500
Ac1 Ac 0.0000 0.0000 0.0000
Pu1 Pu 0.0000 0.0000 0.5000
O1 O 0.0000 0.0000 0.2784
O2 O 0.0000 0.2500 0.5000
```

Properties
* ΔE_f (raw): -2.476 eV/atom
* M_tot: 0.35 μB per atom
* ρ: 7.81 Mg/m³
* raw total energy: -7.9767 eV/atom
* volume: 17.90 A^3/atom

# 9
VASP calculation (GGA-PBE) on Cs2KNaSe after structural relaxation.

CIF file:
```
data_Cs2KNaSe
_symmetry_space_group_name_H-M 'P 4/m m m'
_symmetry_Int_Tables_number 123
_symmetry_space_group_name_Hall '-P 4 2'
_cell_length_a 7.3565
_cell_length_b 7.3565
_cell_length_c 5.6621
_cell_angle_alpha 90.00
_cell_angle_beta 90.00
_cell_angle_gamma 90.00
loop_
_atom_site_label
_atom_site_type_symbol
_atom_site_fract_x
_atom_site_fract_y
_atom_site_fract_z
Cs1 Cs 0.0000 0.5000 0.0000
K1 K 0.0000 0.0000 0.5000
Na1 Na 0.5000 0.5000 0.5000
Se1 Se 0.5000 0.5000 0.0000
```

Properties
* ΔE_f (raw): -0.524 eV/atom
* M_tot: 0.00 μB per atom
* ρ: 2.20 Mg/m³
* raw total energy: -2.0451 eV/atom
* volume: 61.28 A^3/atom
* relative energy among the computed polymorphs: 50 meV/atom

# 10
VASP calculation (GGA-PBE) on Pr4GaSe2Br after structural relaxation.

CIF file:
```
data_Pr4GaSe2Br
_symmetry_space_group_name_H-M 'P 1 2/m 1'
_symmetry_Int_Tables_number 10
_cell_length_a 7.4393
_cell_length_b 4.2514
_cell_length_c 7.5930
_cell_angle_alpha 90.00
_cell_angle_beta 108.66
_cell_angle_gamma 90.00
loop_
_symmetry_equiv_pos_as_xyz
'x,y,z'
'-x,-y,-z'
'-x,y,-z'
'x,-y,z'
loop_
_atom_site_label
_atom_site_type_symbol
_atom_site_fract_x
_atom_site_fract_y
_atom_site_fract_z
Pr1 Pr 0.2373 0.0000 0.2266
Pr2 Pr 0.2484 0.5000 0.7605
Ga1 Ga 0.5000 0.0000 0.0000
Se1 Se 0.0000 0.0000 0.5000
Se2 Se 0.0000 0.5000 0.0000
Br1 Br 0.5000 0.5000 0.5000
```

Properties
* ΔE_f (raw): -1.388 eV/atom
* M_tot: 0.00 μB per atom
* ρ: 6.36 Mg/m³
* raw total energy: -5.2367 eV/atom
* volume: 28.44 A^3/atom